Material: Cs3GeBr5
Method: DFT, PBE
State: relaxed

a b c (Å): 10.794 10.794 10.794
angles (deg): 125.69 125.69 80.41
Atoms (fractional coordinates):
Cs (0.160, 0.660, 0.821)
Cs (0.250, 0.250, 0.000)
Cs (0.340, 0.160, 0.500)
Cs (0.660, 0.840, 0.500)
Cs (0.750, 0.750, 0.000)
Cs (0.840, 0.340, 0.179)
Ge (0.250, 0.750, 0.500)
Ge (0.750, 0.250, 0.500)
Br (0.000, 0.000, 0.000)
Br (0.002, 0.200, 0.500)
Br (0.200, 0.700, 0.199)
Br (0.300, 0.498, 0.500)
Br (0.498, 0.998, 0.199)
Br (0.500, 0.500, 0.000)
Br (0.502, 0.002, 0.801)
Br (0.700, 0.502, 0.500)
Br (0.800, 0.300, 0.801)
Br (0.998, 0.800, 0.500)

Summary:
The value obtained for the formation energy (no corrections) is -1.368 eV/atom. Its final energy is -55.71 eV per cell.